Record 1
TlPbSe2 GGA-PBE optimized geometry; space group = I-4m2, No. 119; formation energy (no corrections) = -0.16 eV per atom; calculated density = 8.4 Mg/m³
1.0
-2.1405 2.1405 6.1699
2.1405 -2.1405 6.1699
2.1405 2.1405 -6.1699
Tl Pb Se
1 1 2
Direct
0.0000 0.0000 0.0000 Tl
0.2500 0.7500 0.5000 Pb
0.5000 0.5000 0.0000 Se
0.7500 0.2500 0.5000 Se



Record 2
BaCa2NiPb GGA-PBE optimized geometry; energy of formation from the pure elements = -188 meV/atom; space group = P4/mmm, No. 123; calculated density = 5.0 Mg/m³
1.0
5.5554 0.0000 0.0000
0.0000 5.5554 0.0000
0.0000 0.0000 5.2256
Ba Ca Ni Pb
1 2 1 1
Direct
0.0000 0.0000 0.0000 Ba
0.0000 0.5000 0.5000 Ca
0.5000 0.0000 0.5000 Ca
0.5000 0.5000 0.5000 Ni
0.5000 0.5000 0.0000 Pb



Please write out number 2 again, unchanged.
BaCa2NiPb GGA-PBE optimized geometry; energy of formation from the pure elements = -188 meV/atom; space group = P4/mmm, No. 123; calculated density = 5.0 Mg/m³
1.0
5.5554 0.0000 0.0000
0.0000 5.5554 0.0000
0.0000 0.0000 5.2256
Ba Ca Ni Pb
1 2 1 1
Direct
0.0000 0.0000 0.0000 Ba
0.0000 0.5000 0.5000 Ca
0.5000 0.0000 0.5000 Ca
0.5000 0.5000 0.5000 Ni
0.5000 0.5000 0.0000 Pb



Q: Look up the calculated density of the second one.
A: 5.0 Mg/m³